1.
## KPrS2O8 (meta-GGA SCAN)

Data for a crystal of KPrS2O8 relaxed with PBEsol.

Results
Symmetry   No. 2
Uncorrected formation energy   -2.362 eV per atom

```
KPrS2O8
1.0
5.4420 0.0000 0.0000
0.2375 6.9495 0.0000
0.2970 0.5797 8.3562
K Pr S O
2 2 4 16
direct
0.2473 0.3500 0.1842 K
0.7527 0.6500 0.8158 K
0.3211 0.1809 0.6984 Pr
0.6789 0.8191 0.3016 Pr
0.2213 0.6950 0.5445 S
0.2427 0.8290 0.0696 S
0.7573 0.1710 0.9304 S
0.7787 0.3050 0.4555 S
0.0173 0.7174 0.1076 O
0.0312 0.2251 0.4847 O
0.2114 0.5475 0.6797 O
0.2274 0.9246 0.9077 O
0.2763 0.9667 0.1947 O
0.3323 0.6143 0.3987 O
0.3844 0.8559 0.5796 O
0.4641 0.6951 0.0757 O
0.5359 0.3049 0.9243 O
0.6156 0.1441 0.4204 O
0.6677 0.3857 0.6013 O
0.7237 0.0333 0.8053 O
0.7726 0.0754 0.0923 O
0.7886 0.4525 0.3203 O
0.9688 0.7749 0.5153 O
0.9827 0.2826 0.8924 O
```

---

2.
## LaAs3S (meta-GGA SCAN)

Data for a crystal of LaAs3S relaxed with PBEsol.

Results
Symmetry   No. 221
Uncorrected formation energy   1.103 eV per atom

```
LaAs3S
1.0
5.5724 0.0000 0.0000
0.0000 5.5724 0.0000
0.0000 0.0000 5.5724
La As S
1 3 1
direct
0.0000 0.0000 0.0000 La
0.0000 0.0000 0.5000 As
0.0000 0.5000 0.0000 As
0.5000 0.0000 0.0000 As
0.5000 0.5000 0.5000 S
```

---

3.
## AsIO2F (meta-GGA SCAN)

Data for a crystal of AsIO2F relaxed with PBEsol.

Results
Symmetry   No. 123
Uncorrected formation energy   -0.292 eV per atom

```
AsIO2F
1.0
4.1281 0.0000 0.0000
0.0000 4.1281 0.0000
0.0000 0.0000 4.0623
As I O F
1 1 2 1
direct
0.0000 0.0000 0.0000 As
0.5000 0.5000 0.5000 I
0.0000 0.5000 0.0000 O
0.5000 0.0000 0.0000 O
0.0000 0.0000 0.5000 F
```

---

4.
## AgAsAu (meta-GGA SCAN)

Data for a crystal of AgAsAu relaxed with PBEsol.

Results
DFT formation energy   0.1503 eV per atom
Symmetry   No. 107

```
AgAsAu
1.0
-1.7590 1.7590 4.1995
1.7590 -1.7590 4.1995
1.7590 1.7590 -4.1995
Ag As Au
1 1 1
direct
0.0000 0.0000 0.0000 Ag
0.6679 0.6679 0.0000 As
0.3324 0.3324 0.0000 Au
```

---

5.
## BeFeW2 (meta-GGA SCAN)

Data for a crystal of BeFeW2 relaxed with PBEsol.

Results
DFT formation energy   0.3180 eV per atom
Symmetry   No. 216

```
BeFeW2
1.0
0.0000 2.9610 2.9610
2.9610 0.0000 2.9610
2.9610 2.9610 0.0000
Be Fe W
1 1 2
direct
0.0000 0.0000 0.0000 Be
0.7500 0.7500 0.7500 Fe
0.2500 0.2500 0.2500 W
0.5000 0.5000 0.5000 W
```

---

6.
## Ni2MoAu (meta-GGA SCAN)

Data for a crystal of Ni2MoAu relaxed with PBEsol.

Results
DFT formation energy   0.1428 eV per atom
Symmetry   No. 12

```
Ni2MoAu
1.0
4.2126 -1.3301 0.0000
4.2126 1.3301 0.0000
-0.7650 0.0000 4.7744
Ni Mo Au
2 1 1
direct
0.2482 0.2482 0.2221 Ni
0.7518 0.7518 0.7779 Ni
0.5000 0.5000 0.0000 Mo
0.0000 0.0000 0.5000 Au
```

---

7.
## YFeW2O8 (meta-GGA SCAN)

Data for a crystal of YFeW2O8 relaxed with PBEsol.

Results
Offset from the most stable computed form   49 meV/atom
Symmetry   No. 1
Uncorrected formation energy   -2.402 eV per atom

```
YFeW2O8
1.0
5.0854 0.0000 0.0000
-2.4341 5.2219 0.0000
-0.1277 -2.1458 5.5924
Y Fe W O
1 1 2 8
direct
0.0000 0.0000 0.0000 Y
0.4799 0.9628 0.3047 Fe
0.2550 0.4887 0.6702 W
0.7596 0.5303 0.3545 W
0.0162 0.2633 0.8015 O
0.0409 0.7057 0.6719 O
0.0411 0.7561 0.2267 O
0.4728 0.2967 0.5448 O
0.4901 0.2514 0.0971 O
0.5098 0.7568 0.9527 O
0.5485 0.7352 0.4690 O
0.9704 0.2898 0.3458 O
```

---

8.
## ScIr2Br (meta-GGA SCAN)

Data for a crystal of ScIr2Br relaxed with PBEsol.

Results
Offset from the most stable computed form   0 meV/atom
Symmetry   No. 123
Uncorrected formation energy   0.223 eV per atom

```
ScIr2Br
1.0
3.9224 0.0000 0.0000
0.0000 3.9224 0.0000
0.0000 0.0000 4.2285
Sc Ir Br
1 2 1
direct
0.0000 0.0000 0.0000 Sc
0.0000 0.5000 0.5000 Ir
0.5000 0.0000 0.5000 Ir
0.5000 0.5000 0.0000 Br
```

---

Number 8 is which compound? ScIr2Br

---

Repeat the third record exactly.
## AsIO2F (meta-GGA SCAN)

Data for a crystal of AsIO2F relaxed with PBEsol.

Results
Symmetry   No. 123
Uncorrected formation energy   -0.292 eV per atom

```
AsIO2F
1.0
4.1281 0.0000 0.0000
0.0000 4.1281 0.0000
0.0000 0.0000 4.0623
As I O F
1 1 2 1
direct
0.0000 0.0000 0.0000 As
0.5000 0.5000 0.5000 I
0.0000 0.5000 0.0000 O
0.5000 0.0000 0.0000 O
0.0000 0.0000 0.5000 F
```